1.
Crystalline Tl2FePd at its relaxed geometry. Source: Alexandria via LeMat-Bulk, functional PBE-GGA.

uncorrected energy	-4.084	eV per atom
DOS at the Fermi energy	4.51	states/eV/f.u.
formation enthalpy at 0 K	0.51	eV/atom
total magnetization	0.747	μB per atom

Lattice parameters (Å, degrees): 4.2822 4.2822 19.0648 90.00 90.00 90.00
With the nearest neighbours (Å) after each atom.
Space group I-42d (No. 122)
Inequivalent atoms, fractional coordinates:
Tl1 0.2471 0.2500 0.1250 [8 per cell]  2 Fe 2.82, 2 Pd 2.83, 4 Tl 3.01-3.05
Fe1 0.0000 0.0000 0.0000 [4 per cell]  4 Tl 2.82, 4 Pd 3.03
Pd1 0.0000 0.0000 0.5000 [4 per cell]  4 Tl 2.83, 4 Fe 3.03

***

2.
Crystalline Nd2EuBi at its relaxed geometry. Source: Alexandria via LeMat-Bulk, functional PBE-GGA.

uncorrected energy	-6.335	eV per atom
DOS at the Fermi energy	3.54	states/eV/f.u.
formation enthalpy at 0 K	-0.41	eV/atom
total magnetization	1.979	μB per atom

Lattice parameters (Å, degrees): 5.0745 5.0745 4.9701 90.00 90.00 90.00
With the nearest neighbours (Å) after each atom.
Space group P4/mmm (No. 123)
Inequivalent atoms, fractional coordinates:
Nd1 0.0000 0.5000 0.0000 [2 per cell]  4 Bi 3.55, 4 Eu 3.55, 4 Nd 3.59
Eu1 0.0000 0.0000 0.5000 [1 per cell]  8 Nd 3.55, 4 Bi 3.59
Bi1 0.5000 0.5000 0.5000 [1 per cell]  8 Nd 3.55, 4 Eu 3.59